[1]
## TaAlTl2 (PBE)

Data for crystalline TaAlTl2 at its relaxed geometry.

Calculated values
**Total magnetization**: 1.2 μB per formula unit
**SG**: F-43m (216)
**Volume**: 22.61 A^3/atom
**Relative energy among the computed polymorphs**: 565 meV per atom
**DOS at the Fermi energy**: 0.919 states/eV/atom
**Energy of formation**: 0.858 eV/atom

abc: 7.126 7.126 7.126
angles: 90.00 90.00 90.00
Sites, in units of the cell vectors:
Ta 0.000 0.000 0.000
Ta 0.000 0.500 0.500
Ta 0.500 0.000 0.500
Ta 0.500 0.500 0.000
Al 0.250 0.250 0.750
Al 0.250 0.750 0.250
Al 0.750 0.250 0.250
Al 0.750 0.750 0.750
Tl 0.000 0.000 0.500
Tl 0.000 0.500 0.000
Tl 0.250 0.250 0.250
Tl 0.250 0.750 0.750
Tl 0.500 0.000 0.000
Tl 0.500 0.500 0.500
Tl 0.750 0.250 0.750
Tl 0.750 0.750 0.250

***

[2]
## TaAlTl2 (PBE)

Data for crystalline TaAlTl2 at its relaxed geometry.

Calculated values
**Total magnetization**: 0.0 μB per formula unit
**SG**: Cm (8)
**Volume**: 21.53 A^3/atom
**Relative energy among the computed polymorphs**: 140 meV per atom
**DOS at the Fermi energy**: 0.497 states/eV/atom
**Energy of formation**: 0.432 eV/atom

abc: 11.496 3.105 5.292
angles: 90.00 114.26 90.00
Sites, in units of the cell vectors:
Ta 0.000 0.000 0.000
Ta 0.500 0.500 0.000
Al 0.298 0.000 0.650
Al 0.798 0.500 0.650
Tl 0.039 0.500 0.520
Tl 0.259 0.500 0.128
Tl 0.539 0.000 0.520
Tl 0.759 0.000 0.128

***

[3]
## TaAl4Tl (PBE)

Data for crystalline TaAl4Tl at its relaxed geometry.

Calculated values
**Total magnetization**: 0.0 μB per formula unit
**SG**: F-43m (216)
**Volume**: 17.64 A^3/atom
**DOS at the Fermi energy**: 0.488 states/eV/atom
**Energy of formation**: 0.134 eV/atom

abc: 5.309 5.309 5.309
angles: 60.00 60.00 60.00
Sites, in units of the cell vectors:
Ta 0.000 0.000 0.000
Al 0.374 0.374 0.374
Al 0.374 0.374 0.877
Al 0.374 0.877 0.374
Al 0.877 0.374 0.374
Tl 0.750 0.750 0.750

***

[4]
## TaAlTl2 (PBE)

Data for crystalline TaAlTl2 at its relaxed geometry.

Calculated values
**Total magnetization**: 1.6 μB per formula unit
**SG**: Fm-3m (225)
**Volume**: 22.27 A^3/atom
**Relative energy among the computed polymorphs**: 594 meV per atom
**DOS at the Fermi energy**: 0.798 states/eV/atom
**Energy of formation**: 0.887 eV/atom

abc: 7.089 7.089 7.089
angles: 90.00 90.00 90.00
Sites, in units of the cell vectors:
Ta 0.000 0.000 0.000
Ta 0.000 0.500 0.500
Ta 0.500 0.000 0.500
Ta 0.500 0.500 0.000
Al 0.000 0.000 0.500
Al 0.000 0.500 0.000
Al 0.500 0.000 0.000
Al 0.500 0.500 0.500
Tl 0.250 0.250 0.250
Tl 0.250 0.250 0.750
Tl 0.250 0.750 0.250
Tl 0.250 0.750 0.750
Tl 0.750 0.250 0.250
Tl 0.750 0.250 0.750
Tl 0.750 0.750 0.250
Tl 0.750 0.750 0.750

***

[5]
## Ta2AlTl2 (PBE)

Data for crystalline Ta2AlTl2 at its relaxed geometry.

Calculated values
**Total magnetization**: 0.0 μB per formula unit
**SG**: I4/mmm (139)
**Volume**: 23.03 A^3/atom
**DOS at the Fermi energy**: 1.078 states/eV/atom
**Energy of formation**: 0.810 eV/atom

abc: 3.855 3.855 15.495
angles: 90.00 90.00 90.00
Sites, in units of the cell vectors:
Ta 0.000 0.500 0.250
Ta 0.000 0.500 0.750
Ta 0.500 0.000 0.250
Ta 0.500 0.000 0.750
Al 0.000 0.000 0.000
Al 0.500 0.500 0.500
Tl 0.000 0.000 0.402
Tl 0.000 0.000 0.598
Tl 0.500 0.500 0.098
Tl 0.500 0.500 0.902

***

[6]
## TaAlTl2 (PBE)

Data for crystalline TaAlTl2 at its relaxed geometry.

Calculated values
**Total magnetization**: 0.0 μB per formula unit
**SG**: I4/mmm (139)
**Volume**: 20.87 A^3/atom
**Relative energy among the computed polymorphs**: 263 meV per atom
**DOS at the Fermi energy**: 0.540 states/eV/atom
**Energy of formation**: 0.555 eV/atom

abc: 4.178 4.178 9.561
angles: 90.00 90.00 90.00
Sites, in units of the cell vectors:
Ta 0.000 0.000 0.000
Ta 0.500 0.500 0.500
Al 0.000 0.000 0.500
Al 0.500 0.500 0.000
Tl 0.000 0.500 0.250
Tl 0.000 0.500 0.750
Tl 0.500 0.000 0.250
Tl 0.500 0.000 0.750